(1)
Below is Pm6AlRu after structural relaxation, with properties calculated at the GGA-PBE level.

Summary:
ΔH_f (0 K) ... 0.012 eV per atom

a = 7.728 Å, b = 10.466 Å, c = 6.648 Å
α = 90.00°, β = 103.88°, γ = 90.00°
Space group C2/m (No. 12)
Inequivalent atoms, fractional coordinates:
Pm (0.150, 0.179, 0.282) x8
Pm (0.213, 0.500, 0.163) x4
Al (0.000, 0.500, 0.500) x2
Ru (0.000, 0.000, 0.000) x2

---

(2)
Below is Al3SBr after structural relaxation, with properties calculated at the GGA-PBE level.

Summary:
Uncorrected formation energy ... 0.89 eV per atom

a = 5.515 Å, b = 5.515 Å, c = 5.515 Å
α = 90.00°, β = 90.00°, γ = 90.00°
Space group Pm-3m (No. 221)
Inequivalent atoms, fractional coordinates:
Al (0.000, 0.000, 0.500) x3
S (0.500, 0.500, 0.500) x1
Br (0.000, 0.000, 0.000) x1